## PmFeGeO4 (PBE with a Hubbard U)

Data for a relaxed structure of PmFeGeO4.

Space-group type   Imma (74)
Total DFT energy (no corrections)   -6.90 eV/atom
Crystal system   orthorhombic

a b c (Å): 6.0589 6.4501 6.4501
angles (deg): 65.34 61.99 61.99
Positions (direct):
1 Pm 0.0000 0.0000 0.0000
2 Pm 0.0000 0.5000 0.5000
3 Fe 0.5000 0.0000 0.5000
4 Fe 0.0000 0.0000 0.5000
5 Ge 0.6423 0.6077 0.1077
6 Ge 0.3577 0.3923 0.8923
7 O 0.7402 0.7895 0.7301
8 O 0.2598 0.7699 0.7105
9 O 0.7402 0.2301 0.2895
10 O 0.2598 0.2105 0.2699
11 O 0.2726 0.7390 0.2390
12 O 0.7494 0.7390 0.2390
13 O 0.2506 0.2610 0.7610
14 O 0.7274 0.2610 0.7610